# 1
The following is a PBE calculation of a geometry-optimized Sr2CeMnN4 structure, from Alexandria.

Summary:
The value obtained for the total DFT energy (no corrections) is -7.0716 eV/atom.

abc: 3.4885 11.5390 12.7198
angles: 90.00 90.00 90.00
With the nearest neighbours (Å) after each atom.
Space group Cmcm (No. 63)
One atom of each set of equivalent atoms:
Sr: 0.0000 0.1350 0.0421 [8 per cell]  4 N 2.40-2.68
Ce: 0.0000 0.4009 0.2500 [4 per cell]  4 N 2.53
Mn: 0.0000 0.3222 0.7500 [4 per cell]  4 N 1.78-1.99
N: 0.0000 0.0950 0.2500 [4 per cell]  2 Mn 1.99
N: 0.0000 0.2138 0.6505 [8 per cell]  1 Mn 1.78
N: 0.0000 0.5000 0.0000 [4 per cell]  4 Sr 2.40


# 2
The following is a PBE calculation of a geometry-optimized NaEr4Au5 structure, from Alexandria.

Summary:
The value obtained for the energy relative to the elements is -772 meV/atom.

abc: 3.5431 3.5431 18.1791
angles: 90.00 90.00 90.00
With the nearest neighbours (Å) after each atom.
Space group P4/mmm (No. 123)
One atom of each set of equivalent atoms:
Na: 0.0000 0.0000 0.0000 [1 per cell]  8 Au 3.23, 4 Na 3.54
Er: 0.0000 0.0000 0.1998 [2 per cell]  8 Au 2.97-3.13
Er: 0.0000 0.0000 0.4007 [2 per cell]  8 Au 3.07-3.09
Au: 0.5000 0.5000 0.1120 [2 per cell]  4 Er 2.97, 4 Na 3.23
Au: 0.5000 0.5000 0.3029 [2 per cell]  8 Er 3.07-3.13
Au: 0.5000 0.5000 0.5000 [1 per cell]  8 Er 3.09